(1)
# Y4TlFeN2

A relaxed structure of Y4TlFeN2 (PBE, OQMD via LeMat-Bulk).

Results
Energy relative to the lowest polymorph listed for this composition = 0 meV per atom

abc: 3.5045 3.5045 14.9475
angles: 90.00 90.00 120.00
With the nearest neighbours (Å) after each atom.
Space group P-6m2 (No. 187)
Asymmetric unit:
1 Y 0.0000 0.0000 0.1374 [2 per cell]  3 N 2.53
2 Y 0.3333 0.6667 0.3206 [2 per cell]  3 N 2.37
3 Tl 0.0000 0.0000 0.5000 [1 per cell]  6 Y 3.36, 6 Tl 3.50
4 Fe 0.3333 0.6667 0.0000 [1 per cell]  6 Y 2.88
5 N 0.6667 0.3333 0.2386 [2 per cell]  6 Y 2.37-2.53

***

(2)
# Y4TlFeN2

A relaxed structure of Y4TlFeN2 (PBE, OQMD via LeMat-Bulk).

Results
Energy relative to the lowest polymorph listed for this composition = 8 meV per atom

abc: 3.4966 3.4966 14.8182
angles: 90.00 90.00 120.00
With the nearest neighbours (Å) after each atom.
Space group P-6m2 (No. 187)
Asymmetric unit:
1 Y 0.0000 0.0000 0.1329 [2 per cell]  3 N 2.55, 3 Fe 2.82
2 Y 0.6667 0.3333 0.3200 [2 per cell]  3 N 2.36
3 Tl 0.0000 0.0000 0.5000 [1 per cell]  6 Y 3.34, 6 Tl 3.50
4 Fe 0.6667 0.3333 0.0000 [1 per cell]  6 Y 2.82
5 N 0.3333 0.6667 0.2379 [2 per cell]  6 Y 2.36-2.55

***

(3)
# FeW3N2

A relaxed structure of FeW3N2 (PBE, OQMD via LeMat-Bulk).

Results
E_tot = -10.450 eV per atom

abc: 2.8016 2.8016 20.3876
angles: 90.00 90.00 120.00
With the nearest neighbours (Å) after each atom.
Space group P6_3/mmc (No. 194)
Asymmetric unit:
1 Fe 0.0000 0.0000 0.2500 [2 per cell]  6 W 2.67, 6 Fe 2.80
2 W 0.0000 0.0000 0.0000 [2 per cell]  6 N 2.22
3 W 0.3333 0.6667 0.1459 [4 per cell]  3 N 2.18
4 N 0.3333 0.6667 0.5744 [4 per cell]  6 W 2.18-2.22

***

(4)
# Fe3W3N

A relaxed structure of Fe3W3N (PBE, OQMD via LeMat-Bulk).

Results
E_tot = -10.397 eV per atom

abc: 11.0297 11.0297 11.0297
angles: 90.00 90.00 90.00
With the nearest neighbours (Å) after each atom.
Space group Fd-3m (No. 227, origin choice 2)
Asymmetric unit:
1 Fe 0.0000 0.0000 0.0000 [16 per cell]  6 Fe 2.36
2 Fe 0.0461 0.0461 0.2039 [32 per cell]  6 Fe 2.36-2.46
3 W 0.0782 0.3750 0.8750 [48 per cell]  2 N 2.13
4 N 0.0000 0.0000 0.5000 [16 per cell]  6 W 2.13

***

(5)
# Zr2Fe3W4N3

A relaxed structure of Zr2Fe3W4N3 (PBE, OQMD via LeMat-Bulk).

Results
E_tot = -10.244 eV per atom

abc: 8.9394 5.1644 13.6329
angles: 90.00 102.72 90.00
With the nearest neighbours (Å) after each atom.
Space group C2/c (No. 15)
Asymmetric unit:
1 Zr 0.0403 0.0827 0.3746 [8 per cell]  3 N 2.34-2.40
2 Fe 0.0000 0.4061 0.7500 [4 per cell]  4 W 2.56-2.57, 4 Fe 2.58
3 Fe 0.2450 0.3285 0.2502 [8 per cell]  4 W 2.56-2.57, 4 Fe 2.58
4 W 0.1145 0.4171 0.5931 [8 per cell]  3 N 2.12-2.18
5 W 0.2185 0.4160 0.9069 [8 per cell]  3 N 2.12-2.18
6 N 0.0784 0.2352 0.0000 [8 per cell]  4 W 2.12-2.18, 2 Zr 2.34
7 N 0.2500 0.2500 0.5000 [4 per cell]  4 W 2.12

***

(6)
# Y3FeN2

A relaxed structure of Y3FeN2 (PBE, OQMD via LeMat-Bulk).

Results
E_tot = -8.269 eV per atom

abc: 3.4350 3.4350 19.2547
angles: 90.00 90.00 120.00
With the nearest neighbours (Å) after each atom.
Space group P6_3/mmc (No. 194)
Asymmetric unit:
1 Y 0.0000 0.0000 0.0000 [2 per cell]  6 N 2.45
2 Y 0.3333 0.6667 0.1461 [4 per cell]  3 N 2.42
3 Fe 0.0000 0.0000 0.2500 [2 per cell]  6 Y 2.82
4 N 0.3333 0.6667 0.5745 [4 per cell]  6 Y 2.42-2.45

***

(7)
# YFe3N

A relaxed structure of YFe3N (PBE, OQMD via LeMat-Bulk).

Results
E_tot = -7.988 eV per atom

abc: 4.0057 4.0057 4.0057
angles: 90.00 90.00 90.00
With the nearest neighbours (Å) after each atom.
Space group Pm-3m (No. 221)
Asymmetric unit:
1 Y 0.0000 0.0000 0.0000 [1 per cell]  12 Fe 2.83
2 Fe 0.0000 0.5000 0.5000 [3 per cell]  2 N 2.00
3 N 0.5000 0.5000 0.5000 [1 per cell]  6 Fe 2.00

***

(8)
# Y4Zr2Fe3N3

A relaxed structure of Y4Zr2Fe3N3 (PBE, OQMD via LeMat-Bulk).

Results
E_tot = -8.410 eV per atom

abc: 10.1291 5.8432 14.6017
angles: 90.00 103.30 90.00
With the nearest neighbours (Å) after each atom.
Space group C2/c (No. 15)
Asymmetric unit:
1 Y 0.1170 0.0770 0.1055 [8 per cell]  3 N 2.46-2.48
2 Y 0.2128 0.0870 0.3944 [8 per cell]  3 N 2.47-2.48
3 Zr 0.0620 0.4121 0.9209 [8 per cell]  3 N 2.20-2.24
4 Fe 0.0000 0.3579 0.2500 [4 per cell]  2 Fe 2.29
5 Fe 0.1136 0.3024 0.7504 [8 per cell]  2 Fe 2.29-2.30
6 N 0.0808 0.2572 0.5000 [8 per cell]  2 Zr 2.24, 4 Y 2.46-2.47
7 N 0.2500 0.2500 0.0000 [4 per cell]  2 Zr 2.20